Entry from Alexandria via LeMat-Bulk: SrMg5Tl8 after structural relaxation (PBE).

Geometry as CIF:
```
data_SrMg5Tl8
_cell_length_a 9.1814
_cell_length_b 9.1814
_cell_length_c 9.2459
_cell_angle_alpha 90.00
_cell_angle_beta 90.00
_cell_angle_gamma 90.00
_symmetry_space_group_name_H-M 'I -4'
_symmetry_Int_Tables_number 82
loop_
_symmetry_equiv_pos_as_xyz
'x,y,z'
'y,-x,-z'
'-x,-y,z'
'-y,x,-z'
'x+1/2,y+1/2,z+1/2'
'y+1/2,-x+1/2,-z+1/2'
'-x+1/2,-y+1/2,z+1/2'
'-y+1/2,x+1/2,-z+1/2'
loop_
_atom_site_label
_atom_site_type_symbol
_atom_site_fract_x
_atom_site_fract_y
_atom_site_fract_z
Sr1 Sr 0.0000 0.0000 0.0000
Mg1 Mg 0.0000 0.5000 0.2500
Mg2 Mg 0.1351 0.7215 0.6621
Tl1 Tl 0.0708 0.8305 0.3373
Tl2 Tl 0.0930 0.6539 0.9795
```

Summary:
Energy relative to the elements (eV per atom): -0.0418
Total DFT energy (no corrections) (eV per atom): -2.08



Entry from Alexandria via LeMat-Bulk: Sr4MgTl15 after structural relaxation (PBE).

Geometry as CIF:
```
data_Sr4MgTl15
_cell_length_a 4.9702
_cell_length_b 4.9702
_cell_length_c 24.5847
_cell_angle_alpha 90.00
_cell_angle_beta 90.00
_cell_angle_gamma 90.00
_symmetry_space_group_name_H-M 'P 4/m m m'
_symmetry_Int_Tables_number 123
_symmetry_space_group_name_Hall '-P 4 2'
loop_
_atom_site_label
_atom_site_type_symbol
_atom_site_fract_x
_atom_site_fract_y
_atom_site_fract_z
Sr1 Sr 0.0000 0.0000 0.1018
Sr2 Sr 0.0000 0.0000 0.3074
Mg1 Mg 0.0000 0.0000 0.5000
Tl1 Tl 0.0000 0.5000 0.0000
Tl2 Tl 0.0000 0.5000 0.2041
Tl3 Tl 0.0000 0.5000 0.4094
Tl4 Tl 0.5000 0.5000 0.1043
Tl5 Tl 0.5000 0.5000 0.3030
Tl6 Tl 0.5000 0.5000 0.5000
```

Summary:
Energy relative to the elements (eV per atom): -0.1995
Total DFT energy (no corrections) (eV per atom): -2.39



Entry from Alexandria via LeMat-Bulk: Sr2Mg12Tl7 after structural relaxation (PBE).

Geometry as CIF:
```
data_Sr2Mg12Tl7
_cell_length_a 11.8306
_cell_length_b 11.8306
_cell_length_c 4.5980
_cell_angle_alpha 90.00
_cell_angle_beta 90.00
_cell_angle_gamma 120.00
_symmetry_space_group_name_H-M 'P -3'
_symmetry_Int_Tables_number 147
loop_
_symmetry_equiv_pos_as_xyz
'x,y,z'
'-x,-y,-z'
'-y,x-y,z'
'y,-x+y,-z'
'-x+y,-x,z'
'x-y,x,-z'
loop_
_atom_site_label
_atom_site_type_symbol
_atom_site_fract_x
_atom_site_fract_y
_atom_site_fract_z
Sr1 Sr 0.3333 0.6667 0.2555
Mg1 Mg 0.0425 0.4289 0.7513
Mg2 Mg 0.1129 0.2678 0.2451
Tl1 Tl 0.0000 0.0000 0.5000
Tl2 Tl 0.1329 0.7126 0.7499
```

Summary:
Energy relative to the elements (eV per atom): -0.1220
Total DFT energy (no corrections) (eV per atom): -1.98



Entry from Alexandria via LeMat-Bulk: Sr2Mg3Tl5 after structural relaxation (PBE).

Geometry as CIF:
```
data_Sr2Mg3Tl5
_cell_length_a 11.8321
_cell_length_b 14.5620
_cell_length_c 6.9548
_cell_angle_alpha 90.00
_cell_angle_beta 90.00
_cell_angle_gamma 90.00
_symmetry_space_group_name_H-M 'I b a m'
_symmetry_Int_Tables_number 72
_symmetry_space_group_name_Hall '-I 2 2c'
loop_
_atom_site_label
_atom_site_type_symbol
_atom_site_fract_x
_atom_site_fract_y
_atom_site_fract_z
Sr1 Sr 0.2350 0.1366 0.0000
Mg1 Mg 0.0000 0.5000 0.2500
Mg2 Mg 0.0967 0.1429 0.5000
Tl1 Tl 0.0000 0.0000 0.2500
Tl2 Tl 0.0000 0.2850 0.2500
Tl3 Tl 0.1713 0.4031 0.0000
```

Summary:
Energy relative to the elements (eV per atom): -0.1980
Total DFT energy (no corrections) (eV per atom): -2.20